1) Compound: CsBaRh2
Source: Alexandria via LeMat-Bulk
Functional: PBE
Structure: relaxed

Its crystal system is cubic. The density of states at the Fermi level is 0.60 states/eV per atom. Its total magnetization is 0.00 μB/cell. As for the calculated density: 7.4 g/cm3.

It has space group Fm-3m (No. 225), with a = 7.5419 Å, b = 7.5419 Å, c = 7.5419 Å, α = 90.00°, β = 90.00° and γ = 90.00°. The inequivalent atoms are Cs at (0.0000, 0.0000, 0.0000), Ba at (0.0000, 0.0000, 0.5000) and Rh at (0.2500, 0.2500, 0.2500).

---

2) Compound: CsBaRh2
Source: Alexandria via LeMat-Bulk
Functional: PBE
Structure: relaxed

Its crystal system is tetragonal. The density of states at the Fermi level is 0.70 states/eV per atom. Its total magnetization is 4.00 μB/cell. As for the calculated density: 5.5 g/cm3.

It has space group I-42d (No. 122), with a = 5.2496 Å, b = 5.2496 Å, c = 20.8255 Å, α = 90.00°, β = 90.00° and γ = 90.00°. The inequivalent atoms are Cs at (0.0000, 0.0000, 0.0000), Ba at (0.0000, 0.0000, 0.5000) and Rh at (0.0619, 0.2500, 0.6250).

---

The most stable of them is 2).

---

1) Compound: Cs2BaRh
Source: Alexandria via LeMat-Bulk
Functional: PBE
Structure: relaxed

Its crystal system is cubic. The density of states at the Fermi level is 1.05 states/eV per atom. Its total magnetization is 0.00 μB/cell. As for the calculated density: 5.4 g/cm3.

It has space group Fm-3m (No. 225), with a = 8.5183 Å, b = 8.5183 Å, c = 8.5183 Å, α = 90.00°, β = 90.00° and γ = 90.00°. The inequivalent atoms are Cs at (0.2500, 0.2500, 0.2500), Ba at (0.0000, 0.0000, 0.0000) and Rh at (0.0000, 0.0000, 0.5000).

---

2) Compound: Cs2BaRh
Source: Alexandria via LeMat-Bulk
Functional: PBE
Structure: relaxed

Its crystal system is tetragonal. The density of states at the Fermi level is 0.75 states/eV per atom. Its total magnetization is 0.00 μB/cell. As for the calculated density: 3.2 g/cm3.

It has space group I-42d (No. 122), with a = 9.0524 Å, b = 9.0524 Å, c = 12.8028 Å, α = 90.00°, β = 90.00° and γ = 90.00°. The inequivalent atoms are Cs at (0.0046, 0.2500, 0.1250), Ba at (0.0000, 0.0000, 0.5000) and Rh at (0.0000, 0.0000, 0.0000).

---

The most stable of them is 2).

---

1) Compound: CsBa3Ru
Source: Alexandria via LeMat-Bulk
Functional: PBE
Structure: relaxed

Its crystal system is cubic. The density of states at the Fermi level is 2.98 states/eV per atom. Its total magnetization is 1.61 μB/cell. As for the calculated density: 4.2 g/cm3.

It has space group Pm-3m (No. 221), with a = 6.3555 Å, b = 6.3555 Å, c = 6.3555 Å, α = 90.00°, β = 90.00° and γ = 90.00°. The inequivalent atoms are Cs at (0.0000, 0.0000, 0.0000), Ba at (0.0000, 0.0000, 0.5000) and Ru at (0.5000, 0.5000, 0.5000).

---

2) Compound: CsBa3Ru
Source: Alexandria via LeMat-Bulk
Functional: PBE
Structure: relaxed

Its crystal system is cubic. The density of states at the Fermi level is 1.70 states/eV per atom. Its total magnetization is 0.00 μB/cell. As for the calculated density: 4.3 g/cm3.

It has space group Pm-3m (No. 221), with a = 6.2938 Å, b = 6.2938 Å, c = 6.2938 Å, α = 90.00°, β = 90.00° and γ = 90.00°. The inequivalent atoms are Cs at (0.0000, 0.0000, 0.0000), Ba at (0.0000, 0.5000, 0.5000) and Ru at (0.5000, 0.5000, 0.5000).

---

The most stable of them is 2).